Entry from OQMD via LeMat-Bulk: crystalline RbNd2Cu3Te4Se at its relaxed geometry (PBE).

Structure (extended XYZ):
```
22
Lattice="0.2397 7.8572 1.7984 -3.8985 -7.0437 0.4644 8.7456 -3.8177 15.5136" Properties=species:S:1:pos:R:3 pbc="T T T"
Te 6.9316 -0.7857 15.7259
Te 5.4728 4.7064 11.3927
Te 1.2550 -3.5716 7.5488
Te 3.8319 0.5674 10.2275
Te -1.8447 -2.2185 2.0504
Te -2.6090 -6.7402 2.4402
Te -0.3860 -7.7107 6.3836
Te 7.6959 3.7360 15.3361
Cu 4.0916 4.7366 9.1485
Cu 5.0391 -9.5061 15.8010
Cu 0.0478 6.5019 1.9753
Cu 6.1184 2.5434 13.2142
Cu 0.9953 -7.7408 8.6278
Cu -1.0315 -5.5476 4.5621
Nd 5.2708 -5.9285 14.8894
Nd -0.1839 2.9243 2.8869
Nd 2.5860 -4.7565 10.1269
Nd 2.5009 1.7523 7.6494
Se 3.7293 -6.0594 12.4440
Se 1.3576 3.0552 5.3323
Rb 0.0807 -1.5425 4.9207
Rb 5.0061 -1.4617 12.8556
```

Computed properties:
- Uncorrected energy: -4.3311 eV per atom